(1)
The following is a DFT calculation (PBE) of Ba2GeCl6 after structural relaxation.

Cell lengths 6.9056, 8.2156, 11.7668 Å; angles 90.00, 123.79, 90.00 degrees
Last column: nearest neighbours and their distance in Å.
Sites, in units of the cell vectors:
Ba (0.2200, 0.1091, 0.2561)  8 Cl 3.11-3.36
Ba (0.2200, 0.3909, 0.7561)  8 Cl 3.11-3.36
Ba (0.7800, 0.6091, 0.2439)  8 Cl 3.11-3.36
Ba (0.7800, 0.8909, 0.7439)  8 Cl 3.11-3.36
Ge (0.5000, 0.0000, 0.0000)  6 Cl 2.65-2.72
Ge (0.5000, 0.5000, 0.5000)  6 Cl 2.65-2.72
Cl (0.1197, 0.1613, 0.9447)  1 Ge 2.68
Cl (0.1197, 0.3387, 0.4447)  1 Ge 2.68
Cl (0.2915, 0.7034, 0.9425)  1 Ge 2.72
Cl (0.2915, 0.7966, 0.4425)  1 Ge 2.72
Cl (0.3556, 0.0340, 0.7406)  1 Ge 2.65
Cl (0.3556, 0.4660, 0.2406)  1 Ge 2.65
Cl (0.6444, 0.5340, 0.7594)  1 Ge 2.65
Cl (0.6444, 0.9660, 0.2594)  1 Ge 2.65
Cl (0.7085, 0.2034, 0.5575)  1 Ge 2.72
Cl (0.7085, 0.2966, 0.0575)  1 Ge 2.72
Cl (0.8803, 0.6613, 0.5553)  1 Ge 2.68
Cl (0.8803, 0.8387, 0.0553)  1 Ge 2.68

Energy above the most stable polymorph in this dataset, eV/atom: 0.000
DOS(E_F), states/eV/cell: 0.000

---

(2)
The following is a DFT calculation (PBE) of BaGe2Cl6 after structural relaxation.

Cell lengths 6.9722, 6.9722, 9.9105 Å; angles 118.71, 118.71, 45.03 degrees
Last column: nearest neighbours and their distance in Å.
Sites, in units of the cell vectors:
Ba (0.0000, 0.0000, 0.0000)  8 Cl 3.20-3.23
Ge (0.1972, 0.1972, 0.6666)  2 Cl 2.36-2.44
Ge (0.8028, 0.8028, 0.3334)  2 Cl 2.36-2.44
Cl (0.0277, 0.0277, 0.6978)  1 Ge 2.36
Cl (0.2642, 0.2642, 0.3211)  2 Ge 2.71
Cl (0.3446, 0.3446, 0.9505)  1 Ge 2.44
Cl (0.6554, 0.6554, 0.0495)  1 Ge 2.44
Cl (0.7358, 0.7358, 0.6789)  2 Ge 2.71
Cl (0.9723, 0.9723, 0.3022)  1 Ge 2.36

Energy above the most stable polymorph in this dataset, eV/atom: 0.000
DOS(E_F), states/eV/cell: 0.000

---

(3)
The following is a DFT calculation (PBE) of Ba2GeCl after structural relaxation.

Cell lengths 5.7558, 5.7558, 5.7558 Å; angles 60.00, 60.00, 60.00 degrees
Last column: nearest neighbours and their distance in Å.
Sites, in units of the cell vectors:
Ba (0.2500, 0.2500, 0.2500)  4 Ge 3.52, 4 Cl 3.52
Ba (0.7500, 0.7500, 0.7500)  4 Cl 3.52, 4 Ge 3.52
Ge (0.0000, 0.0000, 0.0000)  8 Ba 3.52
Cl (0.5000, 0.5000, 0.5000)  8 Ba 3.52

Energy above the most stable polymorph in this dataset, eV/atom: 0.167
DOS(E_F), states/eV/cell: 4.893

---

(4)
The following is a DFT calculation (PBE) of BaGeCl4 after structural relaxation.

Cell lengths 8.3441, 8.3441, 8.3441 Å; angles 107.02, 107.02, 114.50 degrees
Last column: nearest neighbours and their distance in Å.
Sites, in units of the cell vectors:
Ba (0.3750, 0.6250, 0.7500)  8 Cl 3.17-3.28
Ba (0.6250, 0.3750, 0.2500)  8 Cl 3.17-3.28
Ge (0.1250, 0.8750, 0.2500)  4 Cl 2.55
Ge (0.8750, 0.1250, 0.7500)  4 Cl 2.55
Cl (0.1112, 0.6775, 0.4338)  1 Ge 2.55
Cl (0.2563, 0.3225, 0.9338)  1 Ge 2.55
Cl (0.3225, 0.2563, 0.4338)  1 Ge 2.55
Cl (0.3225, 0.8888, 0.0662)  1 Ge 2.55
Cl (0.6775, 0.1112, 0.9338)  1 Ge 2.55
Cl (0.6775, 0.7437, 0.5662)  1 Ge 2.55
Cl (0.7437, 0.6775, 0.0662)  1 Ge 2.55
Cl (0.8888, 0.3225, 0.5662)  1 Ge 2.55

Energy above the most stable polymorph in this dataset, eV/atom: 0.041
DOS(E_F), states/eV/cell: 0.000

---

(5)
The following is a DFT calculation (PBE) of Ba5Ge2Cl2 after structural relaxation.

Cell lengths 10.1990, 10.1990, 8.6072 Å; angles 90.00, 90.00, 49.83 degrees
Last column: nearest neighbours and their distance in Å.
Sites, in units of the cell vectors:
Ba (0.0000, 0.0000, 0.0000)  4 Ge 3.47-3.48
Ba (0.0491, 0.6960, 0.6706)  1 Cl 3.26, 3 Ge 3.43-3.52
Ba (0.1960, 0.5491, 0.1706)  1 Cl 3.26, 3 Ge 3.43-3.52
Ba (0.3040, 0.9509, 0.6706)  1 Cl 3.26, 3 Ge 3.43-3.52
Ba (0.4509, 0.8040, 0.1706)  1 Cl 3.26, 3 Ge 3.43-3.52
Ba (0.5000, 0.5000, 0.5000)  4 Ge 3.47-3.48
Ba (0.5491, 0.1960, 0.8294)  1 Cl 3.26, 3 Ge 3.43-3.52
Ba (0.6960, 0.0491, 0.3294)  1 Cl 3.26, 3 Ge 3.43-3.52
Ba (0.8040, 0.4509, 0.8294)  1 Cl 3.26, 3 Ge 3.43-3.52
Ba (0.9509, 0.3040, 0.3294)  1 Cl 3.26, 3 Ge 3.43-3.52
Ge (0.1115, 0.8885, 0.3887)  1 Ge 2.71
Ge (0.3885, 0.6115, 0.8887)  1 Ge 2.71
Ge (0.6115, 0.3885, 0.1113)  1 Ge 2.71
Ge (0.8885, 0.1115, 0.6113)  1 Ge 2.71
Cl (0.2384, 0.2384, 0.0000)  2 Ba 3.26
Cl (0.2616, 0.2616, 0.5000)  2 Ba 3.26
Cl (0.7384, 0.7384, 0.5000)  2 Ba 3.26
Cl (0.7616, 0.7616, 0.0000)  2 Ba 3.26

DOS(E_F), states/eV/cell: 11.095

---

(6)
The following is a DFT calculation (PBE) of Ba4Ge2Cl after structural relaxation.

Cell lengths 8.8839, 8.8839, 8.8839 Å; angles 138.59, 138.59, 60.00 degrees
Last column: nearest neighbours and their distance in Å.
Sites, in units of the cell vectors:
Ba (0.0000, 0.5000, 0.5000)  2 Cl 3.14, 4 Ge 3.40
Ba (0.2143, 0.2143, 0.0000)  1 Ge 3.09, 1 Cl 3.30
Ba (0.5000, 0.0000, 0.5000)  2 Cl 3.14, 4 Ge 3.40
Ba (0.7857, 0.7857, 0.0000)  1 Ge 3.09, 1 Cl 3.30
Ge (0.4149, 0.4149, 0.0000)  1 Ge 2.62
Ge (0.5851, 0.5851, 0.0000)  1 Ge 2.62
Cl (0.0000, 0.0000, 0.0000)  6 Ba 3.14-3.30

DOS(E_F), states/eV/cell: 3.567

---

(7)
The following is a DFT calculation (PBE) of Ba3GeCl after structural relaxation.

Cell lengths 8.6132, 8.6132, 8.1960 Å; angles 100.43, 100.43, 119.81 degrees
Last column: nearest neighbours and their distance in Å.
Sites, in units of the cell vectors:
Ba (0.0693, 0.4232, 0.7716)  1 Cl 3.17, 2 Ge 3.30-3.31
Ba (0.2073, 0.2073, 0.2616)  2 Cl 3.16-3.41, 2 Ge 3.33
Ba (0.4232, 0.0693, 0.7716)  1 Cl 3.17, 2 Ge 3.30-3.31
Ba (0.5768, 0.9307, 0.2284)  1 Cl 3.17, 2 Ge 3.30-3.31
Ba (0.7927, 0.7927, 0.7384)  2 Cl 3.16-3.41, 2 Ge 3.33
Ba (0.9307, 0.5768, 0.2284)  1 Cl 3.17, 2 Ge 3.30-3.31
Ge (0.1647, 0.8353, 0.0000)  6 Ba 3.30-3.33
Ge (0.8353, 0.1647, 0.0000)  6 Ba 3.30-3.33
Cl (0.4159, 0.4159, 0.7025)  4 Ba 3.16-3.41
Cl (0.5841, 0.5841, 0.2975)  4 Ba 3.16-3.41

Energy above the most stable polymorph in this dataset, eV/atom: 0.048
DOS(E_F), states/eV/cell: 5.552

---

(8)
The following is a DFT calculation (PBE) of Ba2GeCl6 after structural relaxation.

Cell lengths 6.8781, 6.8781, 13.6309 Å; angles 90.00, 90.00, 90.00 degrees
Last column: nearest neighbours and their distance in Å.
Sites, in units of the cell vectors:
Ba (0.0000, 0.0000, 0.1666)  6 Cl 3.08-3.11
Ba (0.0000, 0.0000, 0.8334)  6 Cl 3.08-3.11
Ba (0.5000, 0.5000, 0.3334)  6 Cl 3.08-3.11
Ba (0.5000, 0.5000, 0.6666)  6 Cl 3.08-3.11
Ge (0.0000, 0.0000, 0.5000)  6 Cl 2.71-2.74
Ge (0.5000, 0.5000, 0.0000)  6 Cl 2.71-2.74
Cl (0.1846, 0.1846, 0.3512)  1 Ge 2.71
Cl (0.1846, 0.1846, 0.6488)  1 Ge 2.71
Cl (0.2186, 0.2186, 0.0000)  1 Ge 2.74
Cl (0.2814, 0.7186, 0.5000)  1 Ge 2.74
Cl (0.3154, 0.6846, 0.1488)  1 Ge 2.71
Cl (0.3154, 0.6846, 0.8512)  1 Ge 2.71
Cl (0.6846, 0.3154, 0.1488)  1 Ge 2.71
Cl (0.6846, 0.3154, 0.8512)  1 Ge 2.71
Cl (0.7186, 0.2814, 0.5000)  1 Ge 2.74
Cl (0.7814, 0.7814, 0.0000)  1 Ge 2.74
Cl (0.8154, 0.8154, 0.3512)  1 Ge 2.71
Cl (0.8154, 0.8154, 0.6488)  1 Ge 2.71

Energy above the most stable polymorph in this dataset, eV/atom: 0.050
DOS(E_F), states/eV/cell: 0.000

---

(9)
The following is a DFT calculation (PBE) of Ba2GeCl after structural relaxation.

Cell lengths 8.6036, 8.6036, 8.6036 Å; angles 31.36, 31.36, 31.36 degrees
Last column: nearest neighbours and their distance in Å.
Sites, in units of the cell vectors:
Ba (0.2471, 0.2471, 0.2471)  3 Ge 3.33, 3 Cl 3.42
Ba (0.7529, 0.7529, 0.7529)  3 Ge 3.33, 3 Cl 3.42
Ge (0.5000, 0.5000, 0.5000)  6 Ba 3.33
Cl (0.0000, 0.0000, 0.0000)  6 Ba 3.42

Energy above the most stable polymorph in this dataset, eV/atom: 0.017
DOS(E_F), states/eV/cell: 3.249

---

(10)
The following is a DFT calculation (PBE) of Ba3GeCl after structural relaxation.

Cell lengths 5.9148, 5.9148, 5.9148 Å; angles 90.00, 90.00, 90.00 degrees
Last column: nearest neighbours and their distance in Å.
Sites, in units of the cell vectors:
Ba (0.0000, 0.0000, 0.5000)  2 Cl 2.96
Ba (0.0000, 0.5000, 0.0000)  2 Cl 2.96
Ba (0.5000, 0.0000, 0.0000)  2 Cl 2.96
Ge (0.5000, 0.5000, 0.5000)  12 Ba 4.18
Cl (0.0000, 0.0000, 0.0000)  6 Ba 2.96

Energy above the most stable polymorph in this dataset, eV/atom: 0.341
DOS(E_F), states/eV/cell: 2.883

---

The records above yield energy values of -74.1, -34.5, -14.4, -47.0, -63.3, -24.3, -34.1, -73.1, -15.0, -15.6 eV/cell, respectively.
The records above yield magnetic moment values of 0.00, 0.00, 1.00, 0.00, 0.00, 0.47, 1.62, 0.00, 0.00, 0.00 μB/cell, respectively.